A PBEsol-optimized structure of TlCuN2, computed with SCAN.

Cell and atoms, written as CIF:
```
data_TlCuN2
_cell_length_a 3.4243
_cell_length_b 3.4243
_cell_length_c 6.1764
_cell_angle_alpha 73.91
_cell_angle_beta 73.91
_cell_angle_gamma 60.00
_space_group_name_H-M_alt 'P 1'
_space_group_IT_number 1
_space_group_name_Hall 'P 1'
loop_
_atom_site_label
_atom_site_type_symbol
_atom_site_fract_x
_atom_site_fract_y
_atom_site_fract_z
N1 N 0.1001 0.1001 0.6997
Cu1 Cu 0.0000 0.0000 0.0000
N2 N 0.8999 0.8999 0.3003
Tl1 Tl 0.5000 0.5000 0.5000
```

Results
formation energy without anion corrections	4.9	eV per formula unit
D(E_F)	3.04	states/eV/cell
total magnetic moment	0.0	μB per formula unit